The following is a DFT calculation (PBE-GGA) of crystalline Ca2Ga2Rh at its relaxed geometry.

abc: 6.055 6.423 7.844
angles: 114.17 112.70 90.00
Fractional positions:
Ca1 0.148 0.352 0.296
Ca2 0.648 0.944 0.296
Ca3 0.352 0.056 0.704
Ca4 0.852 0.648 0.704
Ga1 0.107 0.821 0.215
Ga2 0.393 0.606 0.785
Ga3 0.607 0.394 0.215
Ga4 0.893 0.179 0.785
Rh1 0.750 0.500 0.000
Rh2 0.250 0.500 0.000

Output
Electronic total energy: -4.007 eV per atom
E above lowest polymorph: 72 meV per atom
ΔE_f: -525.0 meV per atom
M_tot: 0.0 μB/f.u.